Entry 1:
Pr3YO6 after structural relaxation, computed with GGA-PBE.

Cell lengths 6.9711, 6.9711, 6.9711 Å; angles 91.83, 91.83, 91.83 degrees
Last column: nearest neighbours and their distance in Å.
Positions (direct):
Pr  0.0566  0.5634  0.7520  6 O 2.34-2.48
Pr  0.2480  0.9434  0.4366  6 O 2.34-2.48
Pr  0.4366  0.2480  0.9434  6 O 2.34-2.48
Pr  0.5634  0.7520  0.0566  6 O 2.34-2.48
Pr  0.7520  0.0566  0.5634  6 O 2.34-2.48
Pr  0.9434  0.4366  0.2480  6 O 2.34-2.48
Y  0.0000  0.0000  0.0000  6 O 2.26
Y  0.5000  0.5000  0.5000  6 O 2.30
O  0.0329  0.9031  0.6907  1 Y 2.26, 3 Pr 2.37-2.43
O  0.0969  0.3093  0.9671  1 Y 2.26, 3 Pr 2.37-2.43
O  0.1914  0.5905  0.4339  1 Y 2.30, 3 Pr 2.34-2.48
O  0.3093  0.9671  0.0969  1 Y 2.26, 3 Pr 2.37-2.43
O  0.4095  0.5661  0.8086  1 Y 2.30, 3 Pr 2.34-2.48
O  0.4339  0.1914  0.5905  1 Y 2.30, 3 Pr 2.34-2.48
O  0.5661  0.8086  0.4095  1 Y 2.30, 3 Pr 2.34-2.48
O  0.5905  0.4339  0.1914  1 Y 2.30, 3 Pr 2.34-2.48
O  0.6907  0.0329  0.9031  1 Y 2.26, 3 Pr 2.37-2.43
O  0.8086  0.4095  0.5661  1 Y 2.30, 3 Pr 2.34-2.48
O  0.9031  0.6907  0.0329  1 Y 2.26, 3 Pr 2.37-2.43
O  0.9671  0.0969  0.3093  1 Y 2.26, 3 Pr 2.37-2.43

Values from the calculation:
- crystal system = trigonal
- ρ (g/cm³) = 5.966
- DFT total energy (eV per atom) = -8.430

---

Entry 2:
TbSbIr after structural relaxation, computed with GGA-PBE.

Cell lengths 5.7464, 4.4940, 10.6627 Å; angles 90.00, 90.00, 90.00 degrees
Last column: nearest neighbours and their distance in Å.
Positions (direct):
Tb  0.1338  0.2500  0.1161  4 Ir 2.87-3.08
Tb  0.3662  0.7500  0.6161  4 Ir 2.87-3.08
Tb  0.6338  0.2500  0.3839  4 Ir 2.87-3.08
Tb  0.8662  0.7500  0.8839  4 Ir 2.87-3.08
Sb  0.1223  0.7500  0.3335  3 Ir 2.60-2.75
Sb  0.3777  0.2500  0.8335  3 Ir 2.60-2.75
Sb  0.6223  0.7500  0.1665  3 Ir 2.60-2.75
Sb  0.8777  0.2500  0.6665  3 Ir 2.60-2.75
Ir  0.1523  0.2500  0.4558  3 Sb 2.60-2.75, 1 Tb 2.87
Ir  0.3477  0.7500  0.9558  3 Sb 2.60-2.75, 1 Tb 2.87
Ir  0.6523  0.2500  0.0442  3 Sb 2.60-2.75, 1 Tb 2.87
Ir  0.8477  0.7500  0.5442  3 Sb 2.60-2.75, 1 Tb 2.87

Values from the calculation:
- crystal system = orthorhombic
- ρ (g/cm³) = 11.407
- DFT total energy (eV per atom) = -6.637

---

Entry 3:
Pr2GdMg4Tl2 after structural relaxation, computed with GGA-PBE.

Cell lengths 4.7649, 7.6914, 7.6914 Å; angles 119.31, 90.00, 90.00 degrees
Last column: nearest neighbours and their distance in Å.
Positions (direct):
Pr  0.0000  0.2139  0.7861  5 Mg 3.32-3.71, 4 Tl 3.33
Pr  0.0000  0.7861  0.2139  5 Mg 3.32-3.71, 4 Tl 3.33
Gd  0.0000  0.6454  0.6454  4 Tl 3.27, 3 Mg 3.29-3.50
Mg  0.0000  0.2220  0.2220  6 Mg 3.01-3.06, 1 Gd 3.29, 2 Pr 3.32
Mg  0.5000  0.2161  0.4586  2 Tl 2.98-3.01, 4 Mg 3.01-3.24
Mg  0.5000  0.4586  0.2161  2 Tl 2.98-3.01, 4 Mg 3.01-3.24
Mg  0.5000  0.9751  0.9751  2 Tl 2.98, 4 Mg 3.06-3.24
Tl  0.5000  0.5498  0.8772  3 Mg 2.98-3.01, 2 Gd 3.27, 4 Pr 3.33
Tl  0.5000  0.8772  0.5498  3 Mg 2.98-3.01, 2 Gd 3.27, 4 Pr 3.33

Values from the calculation:
- crystal system = orthorhombic
- ρ (g/cm³) = 6.385
- DFT total energy (eV per atom) = -3.057

---

Entry 4:
LiErSO after structural relaxation, computed with GGA-PBE.

Cell lengths 3.9353, 6.4465, 6.0912 Å; angles 90.00, 90.00, 90.00 degrees
Last column: nearest neighbours and their distance in Å.
Positions (direct):
Li  0.0000  0.2109  0.0000  2 O 2.26, 2 S 2.40-2.45
Li  0.0000  0.7891  0.5000  2 O 2.26, 2 S 2.40-2.45
Er  0.5000  0.3470  0.4356  2 O 2.10-2.12
Er  0.5000  0.6530  0.9356  2 O 2.10-2.12
S  0.0000  0.1542  0.6107  2 Li 2.40-2.45, 2 Er 2.56
S  0.0000  0.8458  0.1107  2 Li 2.40-2.45, 2 Er 2.56
O  0.5000  0.3614  0.0882  2 Er 2.10-2.12, 2 Li 2.26
O  0.5000  0.6386  0.5882  2 Er 2.10-2.12, 2 Li 2.26

Values from the calculation:
- crystal system = orthorhombic
- ρ (g/cm³) = 4.777
- relative energy among the computed polymorphs (meV/atom) = 262.4

---

Entry 5:
LuAsAuO after structural relaxation, computed with GGA-PBE.

Cell lengths 3.9254, 3.9254, 9.1902 Å; angles 90.00, 90.00, 90.00 degrees
Last column: nearest neighbours and their distance in Å.
Positions (direct):
Lu  0.2500  0.2500  0.1103  4 O 2.21
Lu  0.7500  0.7500  0.8897  4 O 2.21
As  0.2500  0.2500  0.7036  4 Au 2.71
As  0.7500  0.7500  0.2964  4 Au 2.71
Au  0.2500  0.7500  0.5000  4 As 2.71, 4 Au 2.78
Au  0.7500  0.2500  0.5000  4 As 2.71, 4 Au 2.78
O  0.2500  0.7500  0.0000  4 Lu 2.21
O  0.7500  0.2500  0.0000  4 Lu 2.21

Values from the calculation:
- crystal system = tetragonal
- ρ (g/cm³) = 10.855
- DFT total energy (eV per atom) = -5.941

---

Entry 6:
NpNbIn after structural relaxation, computed with GGA-PBE.

Cell lengths 4.7229, 4.7229, 4.7229 Å; angles 60.00, 60.00, 60.00 degrees
Last column: nearest neighbours and their distance in Å.
Positions (direct):
Np  0.0000  0.0000  0.0000  4 Nb 2.89
Nb  0.7500  0.7500  0.7500  4 In 2.89, 4 Np 2.89
In  0.5000  0.5000  0.5000  4 Nb 2.89

Values from the calculation:
- crystal system = cubic
- ρ (g/cm³) = 9.914
- relative energy among the computed polymorphs (meV/atom) = 0.0

---

Entry 7:
Mo4PAuC2 after structural relaxation, computed with GGA-PBE.

Cell lengths 3.1871, 3.1871, 12.3407 Å; angles 90.00, 90.00, 120.00 degrees
Last column: nearest neighbours and their distance in Å.
Positions (direct):
Mo  0.0000  0.0000  0.1370  3 C 2.23
Mo  0.0000  0.0000  0.8630  3 C 2.23
Mo  0.3333  0.6667  0.3149  3 C 2.06
Mo  0.3333  0.6667  0.6851  3 C 2.06
P  0.3333  0.6667  0.0000  6 Mo 2.50
Au  0.0000  0.0000  0.5000  6 Mo 2.93, 6 Au 3.19
C  0.6667  0.3333  0.2390  6 Mo 2.06-2.23
C  0.6667  0.3333  0.7610  6 Mo 2.06-2.23

Values from the calculation:
- crystal system = hexagonal
- ρ (g/cm³) = 9.724
- DFT total energy (eV per atom) = -8.893

---

Entry 8:
DyPbNO after structural relaxation, computed with GGA-PBE.

Cell lengths 3.6867, 7.4823, 5.8723 Å; angles 90.00, 90.00, 90.00 degrees
Last column: nearest neighbours and their distance in Å.
Positions (direct):
Dy  0.0000  0.1321  0.0000  2 O 2.14, 2 N 2.24-2.28
Dy  0.0000  0.8679  0.5000  2 O 2.14, 2 N 2.24-2.28
Pb  0.5000  0.3330  0.4899  1 O 2.33, 2 N 2.36
Pb  0.5000  0.6670  0.9899  1 O 2.33, 2 N 2.36
N  0.0000  0.1543  0.3873  2 Dy 2.24-2.28, 2 Pb 2.36
N  0.0000  0.8457  0.8873  2 Dy 2.24-2.28, 2 Pb 2.36
O  0.5000  0.2307  0.8654  2 Dy 2.14, 1 Pb 2.33
O  0.5000  0.7693  0.3654  2 Dy 2.14, 1 Pb 2.33

Values from the calculation:
- crystal system = orthorhombic
- ρ (g/cm³) = 8.195
- relative energy among the computed polymorphs (meV/atom) = 129.6

---

Entry 9:
FeSbPt after structural relaxation, computed with GGA-PBE.

Cell lengths 4.2579, 4.2579, 4.2579 Å; angles 60.00, 60.00, 60.00 degrees
Last column: nearest neighbours and their distance in Å.
Positions (direct):
Fe  0.0000  0.0000  0.0000  4 Sb 2.61, 4 Pt 2.61
Sb  0.2500  0.2500  0.2500  4 Fe 2.61
Pt  0.7500  0.7500  0.7500  4 Fe 2.61

Values from the calculation:
- crystal system = cubic
- ρ (g/cm³) = 11.338
- DFT total energy (eV per atom) = -6.192

---

Entry 10:
BaHoBe after structural relaxation, computed with GGA-PBE.

Cell lengths 5.1242, 5.1242, 5.1242 Å; angles 60.00, 60.00, 60.00 degrees
Last column: nearest neighbours and their distance in Å.
Positions (direct):
Ba  0.0000  0.0000  0.0000  4 Be 3.14, 4 Ho 3.14
Ho  0.2500  0.2500  0.2500  4 Ba 3.14
Be  0.7500  0.7500  0.7500  4 Ba 3.14

Values from the calculation:
- crystal system = cubic
- ρ (g/cm³) = 5.433
- relative energy among the computed polymorphs (meV/atom) = 601.7